# 1
VASP calculation (PBE) on crystalline CeGdLuMg at its relaxed geometry.

Properties
mass density = 7.09 Mg/m³
energy = -103.5 eV/cell
magnetization = 2.1376 μB per atom
formation energy = 0.07 eV/atom

Lattice parameters (Å, degrees): 7.749 7.749 7.749 90.00 90.00 90.00
Space group F-43m (No. 216)
Asymmetric unit:
Ce 0.000 0.000 0.000 [4 per cell]
Gd 0.000 0.000 0.500 [4 per cell]
Lu 0.250 0.250 0.750 [4 per cell]
Mg 0.250 0.250 0.250 [4 per cell]

=====

# 2
VASP calculation (PBE) on crystalline PdWAu at its relaxed geometry.

Properties
excess energy over the best structure of this formula in the dataset = 0 meV per atom
mass density = 16.44 Mg/m³
energy = -42.9 eV/cell
magnetization = 0.0000 μB per atom
formation energy = -0.02 eV/atom

Lattice parameters (Å, degrees): 2.805 2.805 12.509 90.00 90.00 90.00
Space group P4/nmm (No. 129, origin choice 2)
Asymmetric unit:
Pd 0.250 0.250 0.237 [2 per cell]
W 0.250 0.250 0.914 [2 per cell]
Au 0.250 0.250 0.590 [2 per cell]

=====

# 3
VASP calculation (PBE) on crystalline GeRuCl2 at its relaxed geometry.

Properties
excess energy over the best structure of this formula in the dataset = 0 meV per atom
mass density = 4.16 Mg/m³
energy = -50.0 eV/cell
magnetization = 0.0000 μB per atom
formation energy (no corrections) = 0.92 eV per formula unit

Lattice parameters (Å, degrees): 3.4335 3.4335 28.6850 90.00 90.00 120.00
Space group R-3m (No. 166, hexagonal axes)
Asymmetric unit:
Ge 0.0000 0.0000 0.0000 [3 per cell]
Ru 0.0000 0.0000 0.5000 [3 per cell]
Cl 0.0000 0.0000 0.1202 [6 per cell]

=====

# 4
VASP calculation (PBE) on crystalline Np2BiSe at its relaxed geometry.

Properties
mass density = 11.18 Mg/m³
energy = -105.2 eV/cell
magnetization = 2.1642 μB per atom
formation energy (no corrections) = -1.81 eV per formula unit

Lattice parameters (Å, degrees): 4.3418 4.3418 20.7899 90.00 90.00 120.00
Space group R-3m (No. 166, hexagonal axes)
Asymmetric unit:
Np 0.0000 0.0000 0.2400 [6 per cell]
Bi 0.0000 0.0000 0.0000 [3 per cell]
Se 0.0000 0.0000 0.5000 [3 per cell]

=====

# 5
VASP calculation (PBE) on crystalline Sr4HgN at its relaxed geometry.

Properties
excess energy over the best structure of this formula in the dataset = 0 meV per atom
mass density = 4.18 Mg/m³
energy = -71.3 eV/cell
magnetization = 0.0000 μB per atom
formation energy (no corrections) = -2.46 eV per formula unit

Lattice parameters (Å, degrees): 10.373 16.635 7.336 90.00 134.88 90.00
Space group C2/c (No. 15)
Asymmetric unit:
Sr 0.143 0.198 0.148 [8 per cell]
Sr 0.245 0.051 0.638 [8 per cell]
Hg 0.000 0.375 0.750 [4 per cell]
N 0.000 0.124 0.250 [4 per cell]